This record from the Alexandria database describes a relaxed Ta4PbO11 crystal. The functional is PBE.

Summary:
Space-group type   R32
Calculated total energy   -296.8 eV for the cell shown

Structure (POSCAR):
```
Ta4PbO11
1.0
3.150 1.818 12.444
-3.150 1.818 12.444
0.000 -3.637 12.444
Ta Pb O
8 2 22
Cartesian
-1.123 -1.691 12.444
-2.317 0.000 18.666
0.000 0.000 9.312
-0.903 1.818 12.444
1.158 -2.006 18.666
2.026 -0.127 12.444
0.000 0.000 28.020
1.158 2.006 18.666
0.000 0.000 15.591
0.000 0.000 21.741
-2.383 0.491 12.444
-1.038 -1.249 10.517
-2.448 -0.363 16.719
0.000 0.000 5.838
-2.448 0.363 20.613
0.766 -2.310 12.444
-0.785 -1.360 18.666
-0.563 1.523 10.516
0.000 0.000 12.836
0.910 -2.302 20.613
-0.563 -1.523 26.815
-0.785 1.360 18.666
1.601 -0.274 10.516
1.539 -1.939 16.719
0.000 0.000 24.496
-1.038 1.249 26.815
1.570 0.000 18.666
1.617 1.818 12.444
0.910 2.302 16.719
0.000 0.000 31.494
1.539 1.939 20.613
1.601 0.274 26.815
```


This record from the Alexandria database describes a relaxed Ta2PbO crystal. The functional is PBE.

Summary:
Space-group type   Fm-3m
Energy above the lowest structure with this stoichiometry   549 meV/atom

Structure (POSCAR):
```
Ta2PbO
1.0
6.480 0.000 0.000
0.000 6.480 0.000
0.000 0.000 6.480
Ta Pb O
8 4 4
Cartesian
1.620 1.620 1.620
1.620 1.620 4.860
1.620 4.860 1.620
1.620 4.860 4.860
4.860 1.620 1.620
4.860 1.620 4.860
4.860 4.860 1.620
4.860 4.860 4.860
0.000 0.000 0.000
0.000 3.240 3.240
3.240 0.000 3.240
3.240 3.240 0.000
0.000 0.000 3.240
0.000 3.240 0.000
3.240 0.000 0.000
3.240 3.240 3.240
```


This record from the Alexandria database describes a relaxed Ta2PbO2 crystal. The functional is PBE.

Summary:
Space-group type   I4/mmm
Energy above the lowest structure with this stoichiometry   226 meV/atom

Structure (POSCAR):
```
Ta2PbO2
1.0
4.144 0.000 0.000
0.000 4.144 0.000
0.000 0.000 9.954
Ta Pb O
4 2 4
Cartesian
0.000 2.072 2.489
0.000 2.072 7.466
2.072 0.000 2.489
2.072 0.000 7.466
0.000 0.000 0.000
2.072 2.072 4.977
0.000 0.000 2.960
0.000 0.000 6.994
2.072 2.072 2.017
2.072 2.072 7.937
```


no.,V (A^3/atom)
1,13.4
2,17.0
3,17.1